# Tm3ScZn2 | the Alexandria database | PBE-GGA | optimized geometry
data_Tm3ScZn2
_chemical_formula_sum 'Tm6 Sc2 Zn4'
_cell_length_a 4.9255
_cell_length_b 6.4478
_cell_length_c 8.8819
_cell_angle_alpha 90.00
_cell_angle_beta 90.00
_cell_angle_gamma 90.00
_symmetry_space_group_name_H-M 'P 1'
_symmetry_Int_Tables_number 1
_symmetry_space_group_name_Hall 'P 1'
loop_
_atom_site_label
_atom_site_type_symbol
_atom_site_fract_x
_atom_site_fract_y
_atom_site_fract_z
Tm1 Tm 0.0000 0.4841 0.9490
Tm2 Tm 0.0000 0.9841 0.0510
Tm3 Tm 0.5000 0.6711 0.1818
Tm4 Tm 0.5000 0.1711 0.8182
Tm5 Tm 0.0000 0.3250 0.3322
Tm6 Tm 0.0000 0.8250 0.6678
Sc1 Sc 0.5000 0.5181 0.5521
Sc2 Sc 0.5000 0.0181 0.4479
Zn1 Zn 0.5000 0.7172 0.8465
Zn2 Zn 0.5000 0.2172 0.1535
Zn3 Zn 0.0000 0.2845 0.6505
Zn4 Zn 0.0000 0.7845 0.3495
# SG ... No. 26
# Volume ... 23.51 A^3/atom
# Excess energy over the best structure of this formula in the dataset ... 0 meV/atom
# VASP energy ... -3.96 eV per atom

# Tm2ScZn3 | the Alexandria database | PBE-GGA | optimized geometry
data_Tm2ScZn3
_chemical_formula_sum 'Tm4 Sc2 Zn6'
_cell_length_a 4.8948
_cell_length_b 4.8948
_cell_length_c 12.0354
_cell_angle_alpha 90.00
_cell_angle_beta 90.00
_cell_angle_gamma 120.00
_symmetry_space_group_name_H-M 'P 1'
_symmetry_Int_Tables_number 1
_symmetry_space_group_name_Hall 'P 1'
loop_
_atom_site_label
_atom_site_type_symbol
_atom_site_fract_x
_atom_site_fract_y
_atom_site_fract_z
Tm1 Tm 0.0000 0.0000 0.5000
Tm2 Tm 0.3333 0.6667 0.1711
Tm3 Tm 0.6667 0.3333 0.8289
Tm4 Tm 0.0000 0.0000 0.0000
Sc1 Sc 0.3333 0.6667 0.6663
Sc2 Sc 0.6667 0.3333 0.3337
Zn1 Zn 0.3333 0.6667 0.4183
Zn2 Zn 0.6667 0.3333 0.0865
Zn3 Zn 0.0000 0.0000 0.7458
Zn4 Zn 0.0000 0.0000 0.2542
Zn5 Zn 0.3333 0.6667 0.9135
Zn6 Zn 0.6667 0.3333 0.5817
# SG ... No. 164
# Volume ... 20.81 A^3/atom
# VASP energy ... -3.53 eV per atom

Q: What is the formula in the second record?
A: Tm2ScZn3

Q: What is the volume in the second record?
A: 20.81 A^3/atom